A relaxed Ac3V4O12 crystal, computed with GGA+U.

- Density: 7.221 g/cm³
- VASP energy: -151.5 eV per cell

Cell lengths 6.8663, 6.8782, 6.8008 Å; angles 108.73, 109.67, 109.89 degrees
Last column: nearest neighbours and their distance in Å.
Sites, in units of the cell vectors:
Ac  0.5000  0.5000  0.0000  12 O 2.71-2.81
Ac  0.0000  0.5000  0.5000  12 O 2.66-2.85
Ac  0.5000  0.0000  0.5000  12 O 2.73-2.80
V  0.5000  0.5000  0.5000  6 O 1.90-2.01
V  0.5000  0.0000  0.0000  6 O 1.89-2.00
V  0.0000  0.0000  0.5000  6 O 1.99-2.05
V  0.0000  0.5000  0.0000  6 O 1.93-2.01
O  0.2554  0.7376  0.9995  2 V 1.95-2.00
O  0.7446  0.2624  0.0005  2 V 1.95-2.00
O  0.2677  0.2655  0.5138  2 V 1.90-2.05
O  0.2679  0.0053  0.7566  2 V 1.89-2.05
O  0.9970  0.2578  0.7362  2 V 1.99-2.01
O  0.4760  0.7394  0.7355  2 V 1.99-2.00
O  0.7459  0.4868  0.7501  2 V 1.93-2.01
O  0.0030  0.7422  0.2638  2 V 1.99-2.01
O  0.7323  0.7345  0.4862  2 V 1.90-2.05
O  0.7321  0.9947  0.2434  2 V 1.89-2.05
O  0.5240  0.2606  0.2645  2 V 1.99-2.00
O  0.2541  0.5132  0.2499  2 V 1.93-2.01